(a)
# ScTaSb2

A relaxed structure of ScTaSb2 (GGA-PBE, the Alexandria database).

The space group is Cm (No. 8) and the conventional cell measures 10.305, 3.647 and 4.782 Å, with angles of 90.00, 100.40 and 90.00 degrees. The asymmetric unit holds Sc at (0.000, 0.000, 0.000), Ta at (0.213, 0.000, 0.592), Sb at (0.229, 0.500, 0.096) and Sb at (0.490, 0.000, 0.502).

The value obtained for the volume is 177 Å³ per cell. The density of states at the Fermi level comes out at 0.83 states/eV/atom. The magnetic moment comes out at 0.00 μB/f.u.


(b)
# ScTaSb2

A relaxed structure of ScTaSb2 (GGA-PBE, the Alexandria database).

The space group is I-42d (No. 122) and the conventional cell measures 6.466, 6.466 and 12.786 Å, with angles of 90.00, 90.00 and 90.00 degrees. The asymmetric unit holds Sc at (0.000, 0.000, 0.000), Ta at (0.000, 0.000, 0.500) and Sb at (0.230, 0.250, 0.625).

The value obtained for the volume is 535 Å³ per cell. The density of states at the Fermi level comes out at 1.02 states/eV/atom. The magnetic moment comes out at 0.92 μB/f.u.


Most stable pick: (a). Distance to second place: 577 meV/atom.


(a)
# ScTaSb2

A relaxed structure of ScTaSb2 (GGA-PBE, the Alexandria database).

The space group is P4mm (No. 99) and the conventional cell measures 3.844, 3.844 and 5.982 Å, with angles of 90.00, 90.00 and 90.00 degrees. The asymmetric unit holds Sc at (0.000, 0.000, 0.000), Ta at (0.500, 0.500, 0.310), Sb at (0.000, 0.000, 0.482) and Sb at (0.500, 0.500, 0.825).

The value obtained for the volume is 88 Å³ per cell. The density of states at the Fermi level comes out at 0.59 states/eV/atom. The magnetic moment comes out at 0.00 μB/f.u.


(b)
# ScTaSb2

A relaxed structure of ScTaSb2 (GGA-PBE, the Alexandria database).

The space group is Cmmm (No. 65) and the conventional cell measures 6.406, 7.324 and 3.636 Å, with angles of 90.00, 90.00 and 90.00 degrees. The asymmetric unit holds Sc at (0.000, 0.000, 0.000), Ta at (0.000, 0.500, 0.000) and Sb at (0.250, 0.250, 0.500).

The value obtained for the volume is 171 Å³ per cell. The density of states at the Fermi level comes out at 0.55 states/eV/atom. The magnetic moment comes out at 0.00 μB/f.u.


Most stable pick: (a). Distance to second place: 118 meV/atom.


(a)
# ScTaSb2

A relaxed structure of ScTaSb2 (GGA-PBE, the Alexandria database).

The space group is Fm-3m (No. 225) and the conventional cell measures 6.977, 6.977 and 6.977 Å, with angles of 90.00, 90.00 and 90.00 degrees. The asymmetric unit holds Sc at (0.000, 0.000, 0.000), Ta at (0.000, 0.000, 0.500) and Sb at (0.250, 0.250, 0.250).

The value obtained for the volume is 340 Å³ per cell. The density of states at the Fermi level comes out at 1.34 states/eV/atom. The magnetic moment comes out at 0.00 μB/f.u.


(b)
# ScTaSb2

A relaxed structure of ScTaSb2 (GGA-PBE, the Alexandria database).

The space group is P4/mmm (No. 123) and the conventional cell measures 3.446, 3.446 and 7.277 Å, with angles of 90.00, 90.00 and 90.00 degrees. The asymmetric unit holds Sc at (0.000, 0.000, 0.000), Ta at (0.000, 0.000, 0.500) and Sb at (0.500, 0.500, 0.271).

The value obtained for the volume is 86 Å³ per cell. The density of states at the Fermi level comes out at 0.82 states/eV/atom. The magnetic moment comes out at 0.54 μB/f.u.


Most stable pick: (b). Distance to second place: 35 meV/atom.